## SmHoZnCo2 (PBE)

Data for crystalline SmHoZnCo2 at its relaxed geometry.

Computed properties:
* energy of formation: -0.2634 eV per atom
* V: 18.47 Å³ per atom
* total energy: -5.216 eV per atom

Cell: 4.102 5.458 8.250 Å, 90.00 90.00 90.00°
Space group Imm2 (No. 44)
Symmetry-distinct sites (fractional):
Sm (0.000, 0.000, 0.000) (multiplicity 2)
Ho (0.000, 0.000, 0.583) (multiplicity 2)
Zn (0.000, 0.500, 0.793) (multiplicity 2)
Co (0.000, 0.290, 0.289) (multiplicity 4)

## Ho3Co2Sn3 (PBE)

Data for crystalline Ho3Co2Sn3 at its relaxed geometry.

Computed properties:
* V: 21.83 Å³ per atom
* total energy: -5.548 eV per atom

Cell: 4.421 10.703 14.759 Å, 90.00 90.00 90.00°
Space group Cmcm (No. 63)
Symmetry-distinct sites (fractional):
Ho (0.000, 0.072, 0.111) (multiplicity 8)
Ho (0.000, 0.352, 0.250) (multiplicity 4)
Co (0.000, 0.203, 0.608) (multiplicity 8)
Sn (0.000, 0.350, 0.750) (multiplicity 4)
Sn (0.000, 0.362, 0.036) (multiplicity 8)

## Ho2CoSn6 (PBE)

Data for crystalline Ho2CoSn6 at its relaxed geometry.

Computed properties:
* V: 24.20 Å³ per atom
* total energy: -4.885 eV per atom

Cell: 4.326 22.766 4.423 Å, 90.00 90.00 90.00°
Space group Cmmm (No. 65)
Symmetry-distinct sites (fractional):
Ho (0.000, 0.178, 0.000) (multiplicity 4)
Co (0.000, 0.500, 0.500) (multiplicity 2)
Sn (0.000, 0.069, 0.500) (multiplicity 4)
Sn (0.000, 0.295, 0.500) (multiplicity 4)
Sn (0.000, 0.432, 0.000) (multiplicity 4)

## Ho7Co6Sn23 (PBE)

Data for crystalline Ho7Co6Sn23 at its relaxed geometry.

Computed properties:
* V: 22.40 Å³ per atom
* total energy: -5.040 eV per atom

Cell: 9.6931 9.6931 9.9103 Å, 90.00 90.00 120.00°
Space group P-3m1 (No. 164)
Symmetry-distinct sites (fractional):
Ho (0.0000, 0.0000, 0.0000) (multiplicity 1)
Ho (0.0421, 0.5211, 0.3067) (multiplicity 6)
Co (0.1681, 0.3362, 0.8020) (multiplicity 6)
Sn (0.0000, 0.0000, 0.5000) (multiplicity 1)
Sn (0.0000, 0.3466, 0.0000) (multiplicity 6)
Sn (0.1176, 0.2351, 0.2747) (multiplicity 6)
Sn (0.2185, 0.4371, 0.5464) (multiplicity 6)
Sn (0.3333, 0.6667, 0.1160) (multiplicity 2)
Sn (0.3333, 0.6667, 0.8198) (multiplicity 2)

## TbHoCo2Sn (PBE)

Data for crystalline TbHoCo2Sn at its relaxed geometry.

Computed properties:
* V: 20.12 Å³ per atom
* total energy: -5.916 eV per atom

Cell: 3.826 3.814 13.786 Å, 90.00 90.00 90.00°
Space group Amm2 (No. 38)
Symmetry-distinct sites (fractional):
Tb (0.000, 0.000, 0.000) (multiplicity 2)
Ho (0.000, 0.000, 0.725) (multiplicity 2)
Co (0.500, 0.000, 0.160) (multiplicity 2)
Co (0.500, 0.000, 0.567) (multiplicity 2)
Sn (0.500, 0.000, 0.362) (multiplicity 2)

## HoTmCo2Sn (PBE)

Data for crystalline HoTmCo2Sn at its relaxed geometry.

Computed properties:
* V: 19.67 Å³ per atom
* total energy: -5.899 eV per atom

Cell: 3.787 3.800 13.668 Å, 90.00 90.00 90.00°
Space group Amm2 (No. 38)
Symmetry-distinct sites (fractional):
Ho (0.000, 0.000, 0.000) (multiplicity 2)
Tm (0.000, 0.000, 0.277) (multiplicity 2)
Co (0.500, 0.000, 0.435) (multiplicity 2)
Co (0.500, 0.000, 0.840) (multiplicity 2)
Sn (0.500, 0.000, 0.639) (multiplicity 2)